This record from the Alexandria database describes a geometry-optimized Tb2Nd12Sc5 structure. The functional is PBE.

Lattice parameters (Å, degrees): 10.851 8.802 8.361 83.11 90.00 128.05
Fractional coordinates of all 19 atoms:
Nd 0.020 0.636 0.804
Nd 0.421 0.841 0.721
Nd 0.980 0.364 0.196
Nd 0.154 0.778 0.392
Nd 0.383 0.364 0.196
Nd 0.579 0.159 0.279
Nd 0.135 0.269 0.872
Nd 0.376 0.222 0.608
Nd 0.846 0.222 0.608
Nd 0.865 0.731 0.128
Nd 0.617 0.636 0.804
Nd 0.624 0.778 0.392
Sc 0.765 0.531 0.517
Sc 0.644 0.288 0.869
Sc 0.356 0.712 0.131
Sc 0.000 0.000 0.500
Sc 0.235 0.469 0.483
Tb 0.723 0.000 0.000
Tb 0.277 0.000 0.000

Summary:
D(E_F), states/eV/cell: 28.01
SG: C2/m, No. 12
DFT total energy, eV/atom: -5.02
Energy of formation, eV/f.u.: 2.7
Calculated density, g/cm³: 6.07